VASP calculation (PBE) on Ca2Ag3Hg8 after structural relaxation.

a b c (Å): 5.290 7.385 9.757
angles (deg): 112.24 112.67 90.00
Element x y z (fractional)
Ag: 0.000 0.182 0.000
Hg: 0.558 0.397 0.274
Ag: 0.500 0.000 0.000
Ca: 0.881 0.822 0.644
Ca: 0.119 0.178 0.356
Hg: 0.804 0.546 0.092
Ag: 0.000 0.818 0.000
Hg: 0.558 0.877 0.274
Hg: 0.770 0.289 0.577
Hg: 0.442 0.603 0.726
Hg: 0.442 0.123 0.726
Hg: 0.196 0.454 0.908
Hg: 0.230 0.711 0.423

Properties
energy relative to the elements	-0.16	eV/atom
theoretical density	10.40	Mg/m³
crystal system	monoclinic